{
  "formula": "ZrTlAg",
  "functional": "GGA-PBE",
  "state": "relaxed",
  "dft_energy_ev_per_cell": -27.26,
  "spacegroup": "No. 2",
  "lattice_angstrom": [[3.256, 0.007, -0.002], [-1.637, 5.599, 0.041], [-1.625, 2.452, 7.352]],
  "species": ["Tl", "Tl", "Zr", "Zr", "Ag", "Ag"],
  "frac_coords": [[0.168, 0.582, 0.651], [0.495, 0.984, 0.900], [0.183, 0.030, 0.233], [0.480, 0.536, 0.319], [0.868, 0.080, 0.551], [0.795, 0.486, 0.000]]
}

=====

{
  "formula": "ZrTlAg2",
  "functional": "GGA-PBE",
  "state": "relaxed",
  "dft_energy_ev_per_cell": -16.41,
  "spacegroup": "No. 216",
  "lattice_angstrom": [[4.869, -0.141, 0.000], [0.142, 4.869, 0.000], [-2.505, -2.364, 3.444]],
  "species": ["Ag", "Ag", "Zr", "Tl"],
  "frac_coords": [[0.000, 0.000, 0.000], [0.250, 0.750, 0.500], [0.750, 0.250, 0.500], [0.500, 0.500, 0.000]]
}

=====

{
  "formula": "Zr2TlAg",
  "functional": "GGA-PBE",
  "state": "relaxed",
  "dft_energy_ev_per_cell": -22.27,
  "spacegroup": "No. 25",
  "lattice_angstrom": [[-2.231, 1.503, 1.971], [2.132, -1.196, 3.326], [3.424, 5.408, -0.249]],
  "species": ["Ag", "Zr", "Zr", "Tl"],
  "frac_coords": [[0.000, 0.000, 0.494], [0.000, 0.000, 0.999], [0.500, 0.500, 0.260], [0.500, 0.500, 0.747]]
}

=====

{
  "formula": "ZrTlAg2",
  "functional": "GGA-PBE",
  "state": "relaxed",
  "dft_energy_ev_per_cell": -15.99,
  "spacegroup": "No. 65",
  "lattice_angstrom": [[-4.865, 2.486, -0.025], [-0.371, -5.029, 2.102], [0.566, 1.136, 2.818]],
  "species": ["Tl", "Zr", "Ag", "Ag"],
  "frac_coords": [[0.500, 0.000, 0.500], [0.000, 0.500, 0.500], [0.500, 0.500, 0.000], [0.000, 0.000, 0.000]]
}

=====

{
  "formula": "ZrTlAg",
  "functional": "GGA-PBE",
  "state": "relaxed",
  "dft_energy_ev_per_cell": -27.39,
  "spacegroup": "No. 1",
  "lattice_angstrom": [[3.263, -0.001, 0.007], [1.562, 14.239, 0.171], [0.005, 1.167, 3.052]],
  "species": ["Tl", "Tl", "Ag", "Ag", "Zr", "Zr"],
  "frac_coords": [[0.718, 0.714, 0.810], [0.866, 0.485, 0.044], [0.995, 0.196, 0.526], [0.434, 0.326, 0.817], [0.139, 0.891, 0.014], [0.563, 0.051, 0.257]]
}

=====

{
  "formula": "ZrTlAg",
  "functional": "GGA-PBE",
  "state": "relaxed",
  "dft_energy_ev_per_cell": -13.36,
  "spacegroup": "No. 156",
  "lattice_angstrom": [[-0.524, -1.681, -2.657], [-1.436, -0.831, 2.721], [-5.894, 4.556, -1.720]],
  "species": ["Zr", "Ag", "Tl"],
  "frac_coords": [[0.333, 0.667, 0.678], [0.000, 0.000, 0.994], [0.667, 0.333, 0.328]]
}